Record 1
An optimized crystal structure of Pm2Si3TcPt4. Source: the Alexandria database, functional PBE-GGA.

POSCAR file:
```
Pm2Si3TcPt4
1.0
4.233 0.000 0.000
0.000 4.233 0.000
0.000 0.000 10.197
Pm Si Tc Pt
2 3 1 4
Direct
0.000 0.500 0.246 Pm
0.500 0.000 0.754 Pm
0.000 0.500 0.871 Si
0.500 0.000 0.129 Si
0.500 0.500 0.500 Si
0.000 0.000 0.500 Tc
0.000 0.000 0.000 Pt
0.000 0.500 0.636 Pt
0.500 0.000 0.364 Pt
0.500 0.500 0.000 Pt
```

Calculated values
As for the formation energy (no corrections): -0.883 eV/atom. The calculation puts the magnetization at 0.08 μB/atom. The space group is P-4m2.

---

Record 2
An optimized crystal structure of ThPaW. Source: the Alexandria database, functional PBE-GGA.

POSCAR file:
```
ThPaW
1.0
11.429 0.000 0.000
0.000 4.544 0.000
-4.677 0.000 5.790
Th Pa W
4 4 4
Direct
0.062 0.000 0.317 Th
0.438 0.500 0.683 Th
0.562 0.500 0.317 Th
0.938 0.000 0.683 Th
0.173 0.500 0.081 Pa
0.327 0.000 0.919 Pa
0.673 0.000 0.081 Pa
0.827 0.500 0.919 Pa
0.155 0.500 0.671 W
0.345 0.000 0.329 W
0.655 0.000 0.671 W
0.845 0.500 0.329 W
```

Calculated values
The calculation puts the magnetization at 0.00 μB/atom. The space group is C2/m. For the energy of formation from the pure elements, the calculation gives 0.278 eV/atom.

---

Record 3
An optimized crystal structure of NdYCuAg. Source: the Alexandria database, functional PBE-GGA.

POSCAR file:
```
NdYCuAg
1.0
7.269 0.000 0.000
0.000 7.269 0.000
0.000 0.000 7.269
Nd Y Cu Ag
4 4 4 4
Direct
0.000 0.000 0.000 Nd
0.000 0.500 0.500 Nd
0.500 0.000 0.500 Nd
0.500 0.500 0.000 Nd
0.000 0.000 0.500 Y
0.000 0.500 0.000 Y
0.500 0.000 0.000 Y
0.500 0.500 0.500 Y
0.250 0.250 0.250 Cu
0.250 0.750 0.750 Cu
0.750 0.250 0.750 Cu
0.750 0.750 0.250 Cu
0.250 0.250 0.750 Ag
0.250 0.750 0.250 Ag
0.750 0.250 0.250 Ag
0.750 0.750 0.750 Ag
```

Calculated values
The calculation puts the magnetization at 0.00 μB/atom. The energy above the lowest structure with this stoichiometry comes out at 2.8 kJ per mole of atoms. The space group is F-43m. For the energy of formation from the pure elements, the calculation gives -0.213 eV/atom.

---

Record 4
An optimized crystal structure of LaYCd2. Source: the Alexandria database, functional PBE-GGA.

POSCAR file:
```
LaYCd2
1.0
3.353 0.000 0.000
0.000 5.717 0.000
0.000 0.000 13.206
La Y Cd
2 2 4
Direct
0.000 0.000 0.000 La
0.500 0.500 0.500 La
0.000 0.000 0.500 Y
0.500 0.500 0.000 Y
0.000 0.000 0.263 Cd
0.000 0.000 0.737 Cd
0.500 0.500 0.237 Cd
0.500 0.500 0.763 Cd
```

Calculated values
The calculation puts the magnetization at 0.00 μB/atom. The energy above the lowest structure with this stoichiometry comes out at 65.7 kJ per mole of atoms. The space group is Immm. For the energy of formation from the pure elements, the calculation gives 0.346 eV/atom.